(1)
The following is a PBE-GGA calculation of crystalline Ba3ZnGa at its relaxed geometry, from the Alexandria database.

Cell lengths 9.3718, 9.3718, 9.5425 Å; angles 92.99, 92.99, 94.19 degrees
Fractional coordinates of all 20 atoms:
Ba 0.0308 0.4063 0.6814
Ba 0.1000 0.7802 0.9410
Ba 0.2198 0.9000 0.5590
Ba 0.3205 0.4227 0.0765
Ba 0.4063 0.0308 0.1814
Ba 0.4227 0.3205 0.5765
Ba 0.5773 0.6795 0.4235
Ba 0.5937 0.9692 0.8186
Ba 0.6795 0.5773 0.9235
Ba 0.7802 0.1000 0.4410
Ba 0.9000 0.2198 0.0590
Ba 0.9692 0.5937 0.3186
Zn 0.1237 0.2193 0.3552
Zn 0.2193 0.1237 0.8552
Zn 0.7807 0.8763 0.1448
Zn 0.8763 0.7807 0.6448
Ga 0.0486 0.9514 0.2500
Ga 0.3678 0.6322 0.7500
Ga 0.6322 0.3678 0.2500
Ga 0.9514 0.0486 0.7500

Summary:
* calculated total energy: -43.04 eV per cell
* ΔE to the lowest computed polymorph: 90 meV/atom

(2)
The following is a PBE-GGA calculation of crystalline BaZnGa at its relaxed geometry, from the Alexandria database.

Cell lengths 4.4650, 4.4650, 5.1152 Å; angles 90.00, 90.00, 120.00 degrees
Fractional coordinates of all 3 atoms:
Ba 0.0000 0.0000 0.0000
Zn 0.3333 0.6667 0.5000
Ga 0.6667 0.3333 0.5000

Summary:
* calculated total energy: -7.15 eV per cell

(3)
The following is a PBE-GGA calculation of crystalline BaZn6Ga12 at its relaxed geometry, from the Alexandria database.

Cell lengths 7.6114, 7.6114, 7.6114 Å; angles 106.03, 106.03, 106.03 degrees
Fractional coordinates of all 19 atoms:
Ba 0.0000 0.0000 0.0000
Zn 0.2382 0.7241 0.7241
Zn 0.2759 0.2759 0.7618
Zn 0.2759 0.7618 0.2759
Zn 0.7241 0.2382 0.7241
Zn 0.7241 0.7241 0.2382
Zn 0.7618 0.2759 0.2759
Ga 0.1060 0.5000 0.8940
Ga 0.1060 0.8940 0.5000
Ga 0.1872 0.4232 0.4232
Ga 0.4232 0.1872 0.4232
Ga 0.4232 0.4232 0.1872
Ga 0.5000 0.1060 0.8940
Ga 0.5000 0.8940 0.1060
Ga 0.5768 0.5768 0.8128
Ga 0.5768 0.8128 0.5768
Ga 0.8128 0.5768 0.5768
Ga 0.8940 0.1060 0.5000
Ga 0.8940 0.5000 0.1060

Summary:
* calculated total energy: -46.66 eV per cell

(4)
The following is a PBE-GGA calculation of crystalline BaZn2Ga2 at its relaxed geometry, from the Alexandria database.

Cell lengths 8.3949, 8.3949, 3.1497 Å; angles 90.00, 90.00, 90.00 degrees
Fractional coordinates of all 10 atoms:
Ba 0.0000 0.0000 0.0000
Ba 0.5000 0.5000 0.0000
Zn 0.1208 0.3792 0.0000
Zn 0.3792 0.8792 0.0000
Zn 0.6208 0.1208 0.0000
Zn 0.8792 0.6208 0.0000
Ga 0.1632 0.6632 0.5000
Ga 0.3368 0.1632 0.5000
Ga 0.6632 0.8368 0.5000
Ga 0.8368 0.3368 0.5000

Summary:
* calculated total energy: -21.48 eV per cell

Quick rundown of formation energy, same order as above: -138, -307, -40, -43 meV/atom